No. 1
## VPCl2O (PBE+U)

Data for crystalline VPCl2O at its relaxed geometry.

Results
**D(E_F)**: 0.83 states/eV/atom
**V**: 84.2 Å³ per cell
**Offset from the most stable computed form**: 1.86 kcal/mol of atoms

```
5
Lattice="4.4975 0.0000 0.0000 0.0000 4.4975 0.0000 0.0000 0.0000 4.1632" Properties=species:S:1:pos:R:3 pbc="T T T"
V 0.0000 0.0000 0.0000
P 2.2487 2.2487 0.0000
Cl 0.0000 2.2487 2.0816
Cl 2.2487 0.0000 2.0816
O 2.2487 2.2487 2.0816
```

No. 2
## VPCl2O (PBE+U)

Data for crystalline VPCl2O at its relaxed geometry.

Results
**D(E_F)**: 1.16 states/eV/atom
**V**: 100.4 Å³ per cell
**Offset from the most stable computed form**: 0.00 kcal/mol of atoms

```
5
Lattice="4.5678 0.0000 0.0000 0.0000 4.5678 0.0000 0.0000 0.0000 4.8141" Properties=species:S:1:pos:R:3 pbc="T T T"
V 0.0000 0.0000 0.0000
P 0.0000 0.0000 2.4070
Cl 0.0000 2.2839 0.0000
Cl 2.2839 0.0000 0.0000
O 2.2839 2.2839 2.4070
```

What is the offset from the most stable computed form in the first record? 1.86 kcal/mol of atoms

Which of these has the highest V? number 2